(1)
PuHfPd3: optimized geometry, PBE.

Values from the calculation:
Theoretical density in Mg/m³: 11.98
Energy relative to the elements in eV per atom: -0.392

Lattice parameters (Å, degrees): 4.0799 4.0799 12.3541 90.00 90.00 90.00
Closest atoms and distances in Å follow each position.
Atoms (fractional coordinates):
1 Pu 0.0000 0.0000 0.0000  8 Pd 2.97-3.32
2 Pu 0.5000 0.5000 0.5000  8 Pd 2.97-3.32
3 Hf 0.0000 0.0000 0.6540  5 Pd 2.62-2.63
4 Hf 0.5000 0.5000 0.1540  5 Pd 2.62-2.63
5 Pd 0.0000 0.0000 0.4418  1 Hf 2.62, 4 Pd 2.79
6 Pd 0.0000 0.5000 0.2877  2 Hf 2.63, 6 Pd 2.79-2.88
7 Pd 0.0000 0.5000 0.7877  2 Hf 2.63, 6 Pd 2.79-2.88
8 Pd 0.5000 0.0000 0.2877  2 Hf 2.63, 6 Pd 2.79-2.88
9 Pd 0.5000 0.0000 0.7877  2 Hf 2.63, 6 Pd 2.79-2.88
10 Pd 0.5000 0.5000 0.9418  1 Hf 2.62, 4 Pd 2.79

(2)
PuHfPd2: optimized geometry, PBE.

Values from the calculation:
Theoretical density in Mg/m³: 13.32
Energy relative to the elements in eV per atom: -0.472

Lattice parameters (Å, degrees): 5.1025 5.1025 3.0420 90.00 90.00 90.00
Closest atoms and distances in Å follow each position.
Atoms (fractional coordinates):
1 Pu 0.0000 0.0000 0.0000  8 Pd 2.97, 2 Pu 3.04
2 Hf 0.5000 0.5000 0.0000  8 Pd 2.97, 2 Hf 3.04
3 Pd 0.0000 0.5000 0.5000  4 Hf 2.97, 4 Pu 2.97, 2 Pd 3.04
4 Pd 0.5000 0.0000 0.5000  4 Hf 2.97, 4 Pu 2.97, 2 Pd 3.04

(3)
Pu2HfPd: optimized geometry, PBE.

Values from the calculation:
Theoretical density in Mg/m³: 14.10
Energy relative to the elements in eV per atom: -0.035

Lattice parameters (Å, degrees): 3.7757 3.7757 6.3870 90.00 90.00 90.00
Closest atoms and distances in Å follow each position.
Atoms (fractional coordinates):
1 Pu 0.0000 0.0000 0.2263  1 Pu 2.89, 4 Pd 3.04, 4 Hf 3.19
2 Pu 0.0000 0.0000 0.7737  1 Pu 2.89, 4 Pd 3.04, 4 Hf 3.19
3 Hf 0.5000 0.5000 0.5000  8 Pu 3.19, 2 Pd 3.19
4 Pd 0.5000 0.5000 0.0000  8 Pu 3.04, 2 Hf 3.19

(4)
PuHf3Pd12: optimized geometry, PBE.

Values from the calculation:
Theoretical density in Mg/m³: 12.87
Energy relative to the elements in eV per atom: -0.798

Lattice parameters (Å, degrees): 4.0399 4.0399 16.2605 90.00 90.00 90.00
Closest atoms and distances in Å follow each position.
Atoms (fractional coordinates):
1 Pu 0.0000 0.0000 0.0000  12 Pd 2.86-2.98
2 Hf 0.0000 0.0000 0.2527  12 Pd 2.79-2.87
3 Hf 0.0000 0.0000 0.5000  12 Pd 2.83-2.86
4 Hf 0.0000 0.0000 0.7473  12 Pd 2.79-2.87
5 Pd 0.0000 0.5000 0.1344  2 Hf 2.79, 8 Pd 2.83-2.98, 2 Pu 2.98
6 Pd 0.0000 0.5000 0.3780  8 Pd 2.83-2.86, 4 Hf 2.83-2.87
7 Pd 0.0000 0.5000 0.6220  8 Pd 2.83-2.86, 4 Hf 2.83-2.87
8 Pd 0.0000 0.5000 0.8656  2 Hf 2.79, 8 Pd 2.83-2.98, 2 Pu 2.98
9 Pd 0.5000 0.0000 0.1344  2 Hf 2.79, 8 Pd 2.83-2.98, 2 Pu 2.98
10 Pd 0.5000 0.0000 0.3780  8 Pd 2.83-2.86, 4 Hf 2.83-2.87
11 Pd 0.5000 0.0000 0.6220  8 Pd 2.83-2.86, 4 Hf 2.83-2.87
12 Pd 0.5000 0.0000 0.8656  2 Hf 2.79, 8 Pd 2.83-2.98, 2 Pu 2.98
13 Pd 0.5000 0.5000 0.0000  4 Pu 2.86, 8 Pd 2.98
14 Pd 0.5000 0.5000 0.2564  8 Pd 2.83, 4 Hf 2.86
15 Pd 0.5000 0.5000 0.5000  8 Pd 2.83, 4 Hf 2.86
16 Pd 0.5000 0.5000 0.7436  8 Pd 2.83, 4 Hf 2.86

(5)
Pu3HfPd12: optimized geometry, PBE.

Values from the calculation:
Theoretical density in Mg/m³: 13.12
Energy relative to the elements in eV per atom: -0.401

Lattice parameters (Å, degrees): 4.1031 4.1031 16.4492 90.00 90.00 90.00
Closest atoms and distances in Å follow each position.
Atoms (fractional coordinates):
1 Pu 0.0000 0.0000 0.0000  12 Pd 2.90-2.95
2 Pu 0.0000 0.0000 0.2525  12 Pd 2.88-2.96
3 Pu 0.0000 0.0000 0.7475  12 Pd 2.88-2.96
4 Hf 0.0000 0.0000 0.5000  12 Pd 2.82-2.90
5 Pd 0.0000 0.5000 0.1293  4 Pu 2.88-2.95, 8 Pd 2.90-2.95
6 Pd 0.0000 0.5000 0.3822  2 Hf 2.82, 8 Pd 2.82-2.91, 2 Pu 2.96
7 Pd 0.0000 0.5000 0.6178  2 Hf 2.82, 8 Pd 2.82-2.91, 2 Pu 2.96
8 Pd 0.0000 0.5000 0.8707  4 Pu 2.88-2.95, 8 Pd 2.90-2.95
9 Pd 0.5000 0.0000 0.1293  4 Pu 2.88-2.95, 8 Pd 2.90-2.95
10 Pd 0.5000 0.0000 0.3822  2 Hf 2.82, 8 Pd 2.82-2.91, 2 Pu 2.96
11 Pd 0.5000 0.0000 0.6178  2 Hf 2.82, 8 Pd 2.82-2.91, 2 Pu 2.96
12 Pd 0.5000 0.0000 0.8707  4 Pu 2.88-2.95, 8 Pd 2.90-2.95
13 Pd 0.5000 0.5000 0.0000  4 Pu 2.90, 8 Pd 2.95
14 Pd 0.5000 0.5000 0.2564  4 Pu 2.90, 8 Pd 2.91-2.93
15 Pd 0.5000 0.5000 0.5000  8 Pd 2.82, 4 Hf 2.90
16 Pd 0.5000 0.5000 0.7436  4 Pu 2.90, 8 Pd 2.91-2.93

(6)
PuHfPd2: optimized geometry, PBE.

Values from the calculation:
Theoretical density in Mg/m³: 12.54
Energy relative to the elements in eV per atom: -0.302

Lattice parameters (Å, degrees): 3.3786 3.3786 25.5270 90.00 90.00 120.00
Closest atoms and distances in Å follow each position.
Atoms (fractional coordinates):
1 Pu 0.0000 0.0000 0.0000  6 Pd 3.07, 6 Pu 3.38
2 Pu 0.3333 0.6667 0.6667  6 Pd 3.07, 6 Pu 3.38
3 Pu 0.6667 0.3333 0.3333  6 Pd 3.07, 6 Pu 3.38
4 Hf 0.0000 0.0000 0.5000  6 Pd 2.71
5 Hf 0.3333 0.6667 0.1667  6 Pd 2.71
6 Hf 0.6667 0.3333 0.8333  6 Pd 2.71
7 Pd 0.0000 0.0000 0.2404  3 Hf 2.71
8 Pd 0.0000 0.0000 0.7596  3 Hf 2.71
9 Pd 0.3333 0.6667 0.4263  3 Hf 2.71
10 Pd 0.3333 0.6667 0.9071  3 Hf 2.71
11 Pd 0.6667 0.3333 0.0929  3 Hf 2.71
12 Pd 0.6667 0.3333 0.5737  3 Hf 2.71

(7)
PuHfRePd: optimized geometry, PBE.

Values from the calculation:
Theoretical density in Mg/m³: 15.61
Energy relative to the elements in eV per atom: -0.217

Lattice parameters (Å, degrees): 6.7261 6.7261 6.7261 90.00 90.00 90.00
Closest atoms and distances in Å follow each position.
Atoms (fractional coordinates):
1 Pu 0.0000 0.0000 0.0000  4 Re 2.91, 4 Pd 2.91
2 Pu 0.0000 0.5000 0.5000  4 Re 2.91, 4 Pd 2.91
3 Pu 0.5000 0.0000 0.5000  4 Re 2.91, 4 Pd 2.91
4 Pu 0.5000 0.5000 0.0000  4 Re 2.91, 4 Pd 2.91
5 Hf 0.0000 0.0000 0.5000  4 Pd 2.91, 4 Re 2.91
6 Hf 0.0000 0.5000 0.0000  4 Pd 2.91, 4 Re 2.91
7 Hf 0.5000 0.0000 0.0000  4 Pd 2.91, 4 Re 2.91
8 Hf 0.5000 0.5000 0.5000  4 Pd 2.91, 4 Re 2.91
9 Re 0.2500 0.2500 0.2500  4 Hf 2.91, 4 Pu 2.91
10 Re 0.2500 0.7500 0.7500  4 Hf 2.91, 4 Pu 2.91
11 Re 0.7500 0.2500 0.7500  4 Hf 2.91, 4 Pu 2.91
12 Re 0.7500 0.7500 0.2500  4 Hf 2.91, 4 Pu 2.91
13 Pd 0.2500 0.2500 0.7500  4 Hf 2.91, 4 Pu 2.91
14 Pd 0.2500 0.7500 0.2500  4 Hf 2.91, 4 Pu 2.91
15 Pd 0.7500 0.2500 0.2500  4 Hf 2.91, 4 Pu 2.91
16 Pd 0.7500 0.7500 0.7500  4 Hf 2.91, 4 Pu 2.91

(8)
PuHfPdRh: optimized geometry, PBE.

Values from the calculation:
Theoretical density in Mg/m³: 13.50
Energy relative to the elements in eV per atom: -0.480

Lattice parameters (Å, degrees): 6.7743 6.7743 6.7743 90.00 90.00 90.00
Closest atoms and distances in Å follow each position.
Atoms (fractional coordinates):
1 Pu 0.0000 0.0000 0.0000  4 Rh 2.93, 4 Pd 2.93
2 Pu 0.0000 0.5000 0.5000  4 Rh 2.93, 4 Pd 2.93
3 Pu 0.5000 0.0000 0.5000  4 Rh 2.93, 4 Pd 2.93
4 Pu 0.5000 0.5000 0.0000  4 Rh 2.93, 4 Pd 2.93
5 Hf 0.0000 0.0000 0.5000  4 Rh 2.93, 4 Pd 2.93
6 Hf 0.0000 0.5000 0.0000  4 Rh 2.93, 4 Pd 2.93
7 Hf 0.5000 0.0000 0.0000  4 Rh 2.93, 4 Pd 2.93
8 Hf 0.5000 0.5000 0.5000  4 Rh 2.93, 4 Pd 2.93
9 Pd 0.2500 0.2500 0.2500  4 Hf 2.93, 4 Pu 2.93
10 Pd 0.2500 0.7500 0.7500  4 Hf 2.93, 4 Pu 2.93
11 Pd 0.7500 0.2500 0.7500  4 Hf 2.93, 4 Pu 2.93
12 Pd 0.7500 0.7500 0.2500  4 Hf 2.93, 4 Pu 2.93
13 Rh 0.2500 0.2500 0.7500  4 Hf 2.93, 4 Pu 2.93
14 Rh 0.2500 0.7500 0.2500  4 Hf 2.93, 4 Pu 2.93
15 Rh 0.7500 0.2500 0.2500  4 Hf 2.93, 4 Pu 2.93
16 Rh 0.7500 0.7500 0.7500  4 Hf 2.93, 4 Pu 2.93

(9)
PuHfPdRu: optimized geometry, PBE.

Values from the calculation:
Theoretical density in Mg/m³: 13.72
Energy relative to the elements in eV per atom: -0.379

Lattice parameters (Å, degrees): 6.7311 6.7311 6.7311 90.00 90.00 90.00
Closest atoms and distances in Å follow each position.
Atoms (fractional coordinates):
1 Pu 0.0000 0.0000 0.0000  4 Ru 2.91, 4 Pd 2.91
2 Pu 0.0000 0.5000 0.5000  4 Ru 2.91, 4 Pd 2.91
3 Pu 0.5000 0.0000 0.5000  4 Ru 2.91, 4 Pd 2.91
4 Pu 0.5000 0.5000 0.0000  4 Ru 2.91, 4 Pd 2.91
5 Hf 0.0000 0.0000 0.5000  4 Ru 2.91, 4 Pd 2.91
6 Hf 0.0000 0.5000 0.0000  4 Ru 2.91, 4 Pd 2.91
7 Hf 0.5000 0.0000 0.0000  4 Ru 2.91, 4 Pd 2.91
8 Hf 0.5000 0.5000 0.5000  4 Ru 2.91, 4 Pd 2.91
9 Pd 0.2500 0.2500 0.2500  4 Hf 2.91, 4 Pu 2.91
10 Pd 0.2500 0.7500 0.7500  4 Hf 2.91, 4 Pu 2.91
11 Pd 0.7500 0.2500 0.7500  4 Hf 2.91, 4 Pu 2.91
12 Pd 0.7500 0.7500 0.2500  4 Hf 2.91, 4 Pu 2.91
13 Ru 0.2500 0.2500 0.7500  4 Hf 2.91, 4 Pu 2.91
14 Ru 0.2500 0.7500 0.2500  4 Hf 2.91, 4 Pu 2.91
15 Ru 0.7500 0.2500 0.2500  4 Hf 2.91, 4 Pu 2.91
16 Ru 0.7500 0.7500 0.7500  4 Hf 2.91, 4 Pu 2.91

(10)
PuHfTcPd: optimized geometry, PBE.

Values from the calculation:
Theoretical density in Mg/m³: 13.73
Energy relative to the elements in eV per atom: -0.295

Lattice parameters (Å, degrees): 6.7186 6.7186 6.7186 90.00 90.00 90.00
Closest atoms and distances in Å follow each position.
Atoms (fractional coordinates):
1 Pu 0.0000 0.0000 0.0000  4 Tc 2.91, 4 Pd 2.91
2 Pu 0.0000 0.5000 0.5000  4 Tc 2.91, 4 Pd 2.91
3 Pu 0.5000 0.0000 0.5000  4 Tc 2.91, 4 Pd 2.91
4 Pu 0.5000 0.5000 0.0000  4 Tc 2.91, 4 Pd 2.91
5 Hf 0.0000 0.0000 0.5000  4 Tc 2.91, 4 Pd 2.91
6 Hf 0.0000 0.5000 0.0000  4 Tc 2.91, 4 Pd 2.91
7 Hf 0.5000 0.0000 0.0000  4 Tc 2.91, 4 Pd 2.91
8 Hf 0.5000 0.5000 0.5000  4 Pd 2.91, 4 Tc 2.91
9 Tc 0.2500 0.2500 0.7500  4 Hf 2.91, 4 Pu 2.91
10 Tc 0.2500 0.7500 0.2500  4 Hf 2.91, 4 Pu 2.91
11 Tc 0.7500 0.2500 0.2500  4 Hf 2.91, 4 Pu 2.91
12 Tc 0.7500 0.7500 0.7500  4 Hf 2.91, 4 Pu 2.91
13 Pd 0.2500 0.2500 0.2500  4 Hf 2.91, 4 Pu 2.91
14 Pd 0.2500 0.7500 0.7500  4 Hf 2.91, 4 Pu 2.91
15 Pd 0.7500 0.2500 0.7500  4 Hf 2.91, 4 Pu 2.91
16 Pd 0.7500 0.7500 0.2500  4 Hf 2.91, 4 Pu 2.91

Total DFT energy (no corrections) per entry: -8.365 -9.139 -10.987 -7.455 -7.605 -8.970 -10.699 -9.688 -10.068 -10.256 eV/atom